Entry 1:
MnPb4Cl after structural relaxation, computed with PBE.

Structure (CIF):
```
data_MnPb4Cl
_cell_length_a 9.070
_cell_length_b 9.070
_cell_length_c 9.070
_cell_angle_alpha 90.00
_cell_angle_beta 90.00
_cell_angle_gamma 90.00
_symmetry_space_group_name_H-M 'F -4 3 m'
_symmetry_Int_Tables_number 216
_symmetry_space_group_name_Hall 'F -4 2 3'
loop_
_atom_site_label
_atom_site_type_symbol
_atom_site_fract_x
_atom_site_fract_y
_atom_site_fract_z
Mn1 Mn 0.000 0.000 0.000
Pb1 Pb 0.126 0.126 0.626
Cl1 Cl 0.250 0.250 0.250
```

N(E_F): 2.846 states/eV/f.u.
uncorrected formation energy: 0.343 eV/atom

=====

Entry 2:
Sm4TeP2Se after structural relaxation, computed with PBE.

Structure (CIF):
```
data_Sm4TeP2Se
_cell_length_a 7.215
_cell_length_b 4.168
_cell_length_c 7.445
_cell_angle_alpha 90.00
_cell_angle_beta 108.92
_cell_angle_gamma 90.00
_symmetry_space_group_name_H-M 'P 1 2/m 1'
_symmetry_Int_Tables_number 10
_symmetry_space_group_name_Hall '-P 2y'
loop_
_atom_site_label
_atom_site_type_symbol
_atom_site_fract_x
_atom_site_fract_y
_atom_site_fract_z
Sm1 Sm 0.233 0.000 0.218
Sm2 Sm 0.252 0.500 0.777
Te1 Te 0.500 0.500 0.500
P1 P 0.000 0.500 0.000
P2 P 0.500 0.000 0.000
Se1 Se 0.000 0.000 0.500
```

N(E_F): 3.338 states/eV/f.u.
uncorrected formation energy: -1.666 eV/atom

=====

Entry 3:
ZnCdPd after structural relaxation, computed with PBE.

Structure (CIF):
```
data_ZnCdPd
_cell_length_a 3.059
_cell_length_b 3.059
_cell_length_c 22.557
_cell_angle_alpha 90.00
_cell_angle_beta 90.00
_cell_angle_gamma 90.00
_symmetry_space_group_name_H-M 'I 4/m m m'
_symmetry_Int_Tables_number 139
_symmetry_space_group_name_Hall '-I 4 2'
loop_
_atom_site_label
_atom_site_type_symbol
_atom_site_fract_x
_atom_site_fract_y
_atom_site_fract_z
Zn1 Zn 0.000 0.000 0.215
Cd1 Cd 0.000 0.000 0.064
Pd1 Pd 0.000 0.000 0.350
```

N(E_F): 1.623 states/eV/f.u.
DFT formation energy: -0.292 eV/atom